No. 1
Na2NbI: relaxed, GGA-PBE.

```
Na2NbI
1.0
9.078 0.000 0.000
0.000 9.078 0.000
4.539 4.539 3.026
I Na Nb
2 4 2
Direct
0.000 0.000 0.000
0.750 0.250 0.500
0.647 0.125 0.250
0.103 0.625 0.250
0.375 0.353 0.750
0.875 0.897 0.750
0.500 0.500 0.000
0.250 0.750 0.500
```

No. 2
NaNbI2: relaxed, GGA-PBE.

```
NaNbI2
1.0
3.714 0.000 0.000
1.857 3.217 0.000
1.857 1.072 10.924
I Na Nb
2 1 1
Direct
0.108 0.108 0.675
0.892 0.892 0.325
0.000 0.000 0.000
0.500 0.500 0.500
```

No. 3
NaNbI3: relaxed, GGA-PBE.

```
NaNbI3
1.0
-2.979 4.014 -2.983
-5.000 -2.346 1.837
0.065 3.503 4.649
I Na Nb
3 1 1
Direct
0.000 0.500 0.000
0.000 0.000 0.500
0.500 0.000 0.000
0.500 0.500 0.500
0.000 0.000 0.000
```

No. 4
Na3NbI: relaxed, GGA-PBE.

```
Na3NbI
1.0
5.869 0.000 0.000
0.000 5.869 0.000
0.000 0.000 5.869
I Na Nb
1 3 1
Direct
0.000 0.000 0.000
0.000 0.500 0.000
0.000 0.000 0.500
0.500 0.000 0.000
0.500 0.500 0.500
```

No. 5
NaNb2I8: relaxed, GGA-PBE.

```
NaNb2I8
1.0
-0.769 -7.294 1.418
-2.002 -2.243 -8.679
8.053 -2.344 -3.744
Na Nb I
1 2 8
Direct
0.000 0.000 0.000
0.656 0.805 0.805
0.344 0.195 0.195
0.232 0.297 0.915
0.768 0.085 0.703
0.297 0.810 0.810
0.703 0.190 0.190
0.232 0.915 0.297
0.768 0.703 0.085
0.801 0.631 0.631
0.199 0.369 0.369
```

No. 6
NaNbI2: relaxed, GGA-PBE.

```
NaNbI2
1.0
-4.478 -2.485 -0.099
-2.685 -0.613 4.319
-4.375 2.576 0.684
I Na Nb
2 1 1
Direct
0.250 0.250 0.250
0.750 0.750 0.750
0.000 0.000 0.000
0.500 0.500 0.500
```

No. 7
Na3NbI: relaxed, GGA-PBE.

```
Na3NbI
1.0
6.075 0.000 0.000
0.000 6.075 0.000
0.000 0.000 6.075
I Na Nb
1 3 1
Direct
0.500 0.500 0.500
0.000 0.500 0.000
0.000 0.000 0.500
0.500 0.000 0.000
0.000 0.000 0.000
```

No. 8
Na2Nb3I9: relaxed, GGA-PBE.

```
Na2Nb3I9
1.0
10.587 0.354 -2.174
-3.418 8.831 -5.150
0.152 -0.103 10.778
Na Nb I
4 6 18
Direct
0.132 0.533 0.212
0.868 0.788 0.467
0.868 0.467 0.788
0.132 0.212 0.533
0.386 0.123 0.123
0.614 0.877 0.877
0.626 0.040 0.201
0.374 0.799 0.960
0.374 0.960 0.799
0.626 0.201 0.040
0.500 0.209 0.791
0.172 0.487 0.895
0.172 0.895 0.487
0.828 0.513 0.105
0.789 0.691 0.691
0.211 0.309 0.309
0.515 0.419 0.209
0.485 0.791 0.581
0.485 0.581 0.791
0.515 0.209 0.419
0.175 0.686 0.686
0.811 0.896 0.103
0.811 0.103 0.896
0.189 0.104 0.897
0.189 0.897 0.104
0.500 0.791 0.209
0.825 0.314 0.314
0.828 0.105 0.513
```

No. 9
NaNbI2: relaxed, GGA-PBE.

```
NaNbI2
1.0
-1.641 -6.090 0.268
5.915 -1.658 -1.456
4.021 -4.037 7.245
I Na Nb
4 2 2
Direct
0.657 0.125 0.250
0.093 0.625 0.250
0.375 0.343 0.750
0.875 0.907 0.750
0.500 0.500 0.000
0.250 0.750 0.500
0.000 0.000 0.000
0.750 0.250 0.500
```

No. 10
Na2NbIO: relaxed, GGA-PBE.

```
Na2NbIO
1.0
-2.103 0.007 5.744
-0.774 -4.018 -0.279
5.627 -1.227 2.062
I Na Nb O
1 2 1 1
Direct
0.000 0.000 0.000
0.000 0.000 0.500
0.500 0.000 0.000
0.500 0.500 0.500
0.000 0.500 0.000
```

No. 11
NaNb2IO8: relaxed, GGA-PBE.

```
NaNb2IO8
1.0
4.936 0.134 0.049
0.194 4.935 0.047
0.073 0.075 6.509
Na Nb I O
1 2 1 8
Direct
0.000 0.000 0.500
0.469 0.469 0.740
0.531 0.531 0.260
0.000 0.000 0.000
0.200 0.775 0.228
0.696 0.696 0.010
0.775 0.199 0.228
0.800 0.225 0.772
0.304 0.304 0.990
0.225 0.801 0.772
0.676 0.676 0.492
0.324 0.324 0.508
```

No. 12
NaNbIO5: relaxed, GGA-PBE.

```
NaNbIO5
1.0
-2.914 -3.636 -3.544
5.353 -2.115 1.073
-3.450 -1.576 6.697
Na Nb I O
2 2 2 10
Direct
0.295 0.705 0.250
0.705 0.295 0.750
0.000 0.000 0.500
0.000 0.000 0.000
0.643 0.357 0.250
0.357 0.643 0.750
0.048 0.952 0.250
0.952 0.048 0.750
0.774 0.182 0.044
0.226 0.818 0.956
0.818 0.226 0.456
0.182 0.774 0.544
0.667 0.683 0.410
0.333 0.317 0.590
0.317 0.333 0.090
0.683 0.667 0.910
```

No. 13
Na2NbIO6: relaxed, GGA-PBE.

```
Na2NbIO6
1.0
4.532 0.000 0.000
0.000 5.672 0.000
0.000 0.000 5.672
Na Nb I O
2 1 1 6
Direct
0.029 0.500 0.000
0.029 0.000 0.500
0.584 0.500 0.500
0.646 0.000 0.000
0.683 0.256 0.256
0.683 0.256 0.744
0.184 0.500 0.500
0.243 0.000 0.000
0.683 0.744 0.744
0.683 0.744 0.256
```

No. 14
RbNaNbI6: relaxed, GGA-PBE.

```
RbNaNbI6
1.0
8.006 0.000 0.000
-4.003 6.934 0.000
0.000 0.000 15.546
Rb Na Nb I
2 2 2 12
Direct
0.000 0.000 0.000
0.000 0.000 0.500
0.333 0.667 0.250
0.667 0.333 0.750
0.667 0.333 0.250
0.333 0.667 0.750
0.648 0.611 0.144
0.963 0.352 0.144
0.352 0.963 0.644
0.037 0.648 0.856
0.389 0.352 0.356
0.963 0.611 0.356
0.611 0.963 0.856
0.648 0.037 0.356
0.037 0.389 0.644
0.389 0.037 0.144
0.611 0.648 0.644
0.352 0.389 0.856
```

No. 15
RbNaNb2I: relaxed, GGA-PBE.

```
RbNaNb2I
1.0
4.993 0.000 0.000
0.000 6.659 0.000
0.000 0.000 4.993
I Na Nb Rb
1 1 2 1
Direct
0.000 0.500 0.000
0.500 0.500 0.500
0.000 0.000 0.500
0.500 0.000 0.000
0.000 0.000 0.000
```

No. 16
Na2NbSI: relaxed, GGA-PBE.

```
Na2NbSI
1.0
6.124 0.000 0.000
0.000 5.205 0.000
0.000 0.000 6.124
I Na Nb S
1 2 1 1
Direct
0.000 0.500 0.000
0.000 0.000 0.500
0.500 0.000 0.000
0.000 0.000 0.000
0.500 0.500 0.500
```

No. 17
NaNbSbI2: relaxed, GGA-PBE.

```
NaNbSbI2
1.0
5.840 0.000 0.000
0.000 5.840 0.000
0.000 0.000 5.380
I Sb Nb Na
2 1 1 1
Direct
0.000 0.500 0.000
0.500 0.000 0.000
0.000 0.000 0.500
0.000 0.000 0.000
0.500 0.500 0.500
```

No. 18
NaNbSeI2: relaxed, GGA-PBE.

```
NaNbSeI2
1.0
5.464 0.000 0.000
0.000 6.124 0.000
0.000 0.000 5.464
I Na Nb Se
2 1 1 1
Direct
0.000 0.000 0.500
0.500 0.000 0.000
0.000 0.000 0.000
0.000 0.500 0.000
0.500 0.500 0.500
```

No. 19
NaNbSn2I: relaxed, GGA-PBE.

```
NaNbSn2I
1.0
-0.395 -1.681 -5.150
-4.239 -3.119 1.343
-3.589 4.381 -1.155
I Na Nb Sn
1 1 1 2
Direct
0.000 0.000 0.500
0.500 0.500 0.500
0.000 0.000 0.000
0.000 0.500 0.000
0.500 0.000 0.000
```

No. 20
NaNbSn2I: relaxed, GGA-PBE.

```
NaNbSn2I
1.0
5.368 0.000 0.000
0.000 6.690 0.000
0.000 0.000 5.368
I Na Nb Sn
1 1 1 2
Direct
0.500 0.500 0.500
0.000 0.500 0.000
0.000 0.000 0.000
0.000 0.000 0.500
0.500 0.000 0.000
```

Results for raw formation energy: 2.7; -0.3; -1.5; 3.4; -5.1; 0.6; 4.1; -9.5; 0.3; 3.9; -20.7; -11.4; -15.4; -7.4; 10.8; 4.4; -0.4; 5.0; 0.8; 2.1 (in eV/f.u., following the order of the records).
Results for E_tot: -2.90; -3.70; -3.51; -2.44; -3.54; -3.47; -2.30; -4.02; -3.54; -3.06; -6.94; -6.14; -5.95; -3.22; -2.64; -2.79; -3.80; -2.59; -4.03; -3.76 (in eV/atom, following the order of the records).